Record 1
MnTeOs2 | PBE-GGA | relaxed

Cell and atoms, written as POSCAR:
```
MnTeOs2
1.0
-2.769 2.769 5.613
2.769 -2.769 5.613
2.769 2.769 -5.613
Mn Te Os
2 2 4
Direct
0.000 0.000 0.000
0.750 0.250 0.500
0.250 0.750 0.500
0.500 0.500 0.000
0.074 0.625 0.949
0.375 0.324 0.449
0.676 0.125 0.051
0.875 0.926 0.551
```

Summary:
Formation energy from raw total energies   1.0124 eV per atom
D(E_F)   0.9081 states/eV/atom

Record 2
Zr2Sc6Ru | PBE-GGA | relaxed

Cell and atoms, written as POSCAR:
```
Zr2Sc6Ru
1.0
4.137 -7.867 0.000
4.137 7.867 0.000
0.000 0.000 3.125
Zr Sc Ru
2 6 1
Direct
0.180 0.820 0.000
0.820 0.180 0.000
0.166 0.492 0.500
0.219 0.219 0.000
0.492 0.166 0.500
0.508 0.834 0.500
0.781 0.781 0.000
0.834 0.508 0.500
0.500 0.500 0.500
```

Summary:
Energy of formation from the pure elements   40 meV/atom
D(E_F)   1.0567 states/eV/atom

Record 3
La2PmMo2N6 | PBE-GGA | relaxed

Cell and atoms, written as POSCAR:
```
La2PmMo2N6
1.0
2.927 1.690 6.276
-2.927 1.690 6.276
0.000 -3.380 6.276
La Pm Mo N
2 1 2 6
Direct
0.201 0.201 0.201
0.799 0.799 0.799
0.000 0.000 0.000
0.401 0.401 0.401
0.599 0.599 0.599
0.227 0.739 0.739
0.261 0.261 0.773
0.261 0.773 0.261
0.739 0.227 0.739
0.739 0.739 0.227
0.773 0.261 0.261
```

Summary:
Formation energy from raw total energies   -0.8144 eV per atom
D(E_F)   0.2403 states/eV/atom